Material: UPdRu
Method: DFT, PBE
State: relaxed

## Properties
The calculation puts the density of states at the Fermi level at 3.39 states/eV/f.u. The volume comes out at 19.3 Å³/atom. For the energy relative to the elements, the calculation gives -0.06 eV per atom. Its total energy is -8.6499 eV/atom. The energy above the most stable polymorph in this dataset comes out at 31 kJ/mol of formula units. As for the theoretical density: 12.77 g cm⁻³.

Cell: 3.655 3.655 5.009 Å, 90.00 90.00 120.00°
Fractional positions:
U 0.000 0.000 0.000
Pd 0.333 0.667 0.640
Ru 0.667 0.333 0.291